DFT (PBE-GGA) results for a relaxed Nd2AlSb crystal.

a = 3.6079 Å, b = 3.6079 Å, c = 11.1188 Å
α = 80.66°, β = 80.66°, γ = 60.00°
Last column: nearest neighbours and their distance in Å.
Sites, in units of the cell vectors:
Sb 0.0000 0.0000 0.0000  2 Nd 3.16
Nd 0.0964 0.0964 0.7107  3 Al 3.10, 1 Sb 3.16
Nd 0.9036 0.9036 0.2893  3 Al 3.10, 1 Sb 3.16
Al 0.5000 0.5000 0.5000  6 Nd 3.10

Properties
For the formation energy from raw total energies, the calculation gives -104 meV/atom. The calculated total energy comes out at -17.82 eV/cell.